Record 1
The following is a PBE calculation of a relaxed structure of Pr2SmPaSe4, from the Alexandria database.

Properties
raw formation energy: -1280 kJ/mol of formula units
crystal system: monoclinic
total magnetic moment: 0.810 μB per cell
calculated volume: 26.04 A^3/atom
SG: No. 10
energy: -6.373 eV/atom
DOS at the Fermi energy: 7.34 states/eV/f.u.

```
Pr2SmPaSe4
1.0
7.268 0.000 0.000
0.000 4.163 0.000
-2.378 0.000 6.885
Pr Sm Pa Se
2 1 1 4
Direct
0.000 0.000 0.000
0.500 0.500 0.000
0.000 0.500 0.500
0.500 0.000 0.500
0.250 0.000 0.740
0.256 0.500 0.261
0.744 0.500 0.739
0.750 0.000 0.260
```

Record 2
The following is a PBE calculation of a relaxed structure of LaSmGdTl, from the Alexandria database.

Properties
crystal system: cubic
total magnetic moment: 8.516 μB per cell
calculated volume: 31.15 A^3/atom
SG: No. 216
energy: -6.633 eV/atom
energy relative to the elements: -0.11 eV/atom
DOS at the Fermi energy: 5.69 states/eV/f.u.

```
LaSmGdTl
1.0
0.000 3.964 3.964
3.964 0.000 3.964
3.964 3.964 0.000
La Sm Gd Tl
1 1 1 1
Direct
0.000 0.000 0.000
0.500 0.500 0.500
0.750 0.750 0.750
0.250 0.250 0.250
```

Record 3
The following is a PBE calculation of a relaxed structure of Li3TlOs, from the Alexandria database.

Properties
crystal system: cubic
total magnetic moment: 0.317 μB per cell
calculated volume: 21.64 A^3/atom
SG: No. 221
energy: -3.024 eV/atom
energy relative to the elements: 0.84 eV/atom
DOS at the Fermi energy: 3.15 states/eV/f.u.

```
Li3TlOs
1.0
4.765 0.000 0.000
0.000 4.765 0.000
0.000 0.000 4.765
Li Tl Os
3 1 1
Direct
0.000 0.000 0.500
0.000 0.500 0.000
0.500 0.000 0.000
0.500 0.500 0.500
0.000 0.000 0.000
```

Record 4
The following is a PBE calculation of a relaxed structure of RbIn3Ir, from the Alexandria database.

Properties
crystal system: cubic
total magnetic moment: 0.000 μB per cell
calculated volume: 29.40 A^3/atom
SG: No. 221
energy: -3.749 eV/atom
energy relative to the elements: -0.14 eV/atom
DOS at the Fermi energy: 4.23 states/eV/f.u.

```
RbIn3Ir
1.0
5.278 0.000 0.000
0.000 5.278 0.000
0.000 0.000 5.278
Rb In Ir
1 3 1
Direct
0.000 0.000 0.000
0.000 0.500 0.500
0.500 0.000 0.500
0.500 0.500 0.000
0.500 0.500 0.500
```

Record 5
The following is a PBE calculation of a relaxed structure of SrRu2Cl, from the Alexandria database.

Properties
raw formation energy: 101 kJ/mol of formula units
crystal system: orthorhombic
total magnetic moment: 0.001 μB per cell
calculated volume: 23.12 A^3/atom
SG: No. 44
energy: -5.258 eV/atom
DOS at the Fermi energy: 5.20 states/eV/f.u.

```
SrRu2Cl
1.0
-1.887 2.928 4.184
1.887 -2.928 4.184
1.887 2.928 -4.184
Sr Ru Cl
1 2 1
Direct
0.000 0.000 0.000
0.344 0.844 0.500
0.507 0.507 0.000
0.719 0.219 0.500
```

Record 6
The following is a PBE calculation of a relaxed structure of ZnBrCl, from the Alexandria database.

Properties
raw formation energy: -290 kJ/mol of formula units
crystal system: monoclinic
total magnetic moment: 0.000 μB per cell
calculated volume: 31.03 A^3/atom
SG: No. 6
energy: -2.601 eV/atom
DOS at the Fermi energy: 0.00 states/eV/f.u.

```
ZnBrCl
1.0
3.767 0.000 0.000
0.000 3.882 0.000
-0.243 0.000 6.367
Zn Br Cl
1 1 1
Direct
0.000 0.000 0.000
0.018 0.500 0.234
0.487 0.000 0.787
```

Record 7
The following is a PBE calculation of a relaxed structure of LaTi, from the Alexandria database.

Properties
crystal system: cubic
total magnetic moment: 2.159 μB per cell
calculated volume: 30.60 A^3/atom
SG: No. 225
energy: -5.414 eV/atom
energy relative to the elements: 1.00 eV/atom
DOS at the Fermi energy: 4.62 states/eV/f.u.

```
LaTi
1.0
0.000 3.128 3.128
3.128 0.000 3.128
3.128 3.128 0.000
La Ti
1 1
Direct
0.000 0.000 0.000
0.500 0.500 0.500
```